# 1
4
Lattice="1.698 0.980 9.330 -1.698 0.980 9.330 0.000 -1.960 9.330" Properties=species:S:1:pos:R:3 comment="Lu2ThH (PBE, relaxed)" polymorph_energy_ev_per_atom=0.0000 e_tot_ev_per_cell=-19.8 volume_a3_per_atom=23.289 pbc="T T T"
Lu 0.000 0.000 3.354
Lu 0.000 0.000 24.634
Th 0.000 0.000 0.000
H 0.000 0.000 13.994

# 2
80
Lattice="-6.621 6.621 6.621 6.621 -6.621 6.621 6.621 6.621 -6.621" Properties=species:S:1:pos:R:3 comment="Lu3Th5H12 (PBE, relaxed)" e_tot_ev_per_cell=-392.9 volume_a3_per_atom=14.510 pbc="T T T"
Lu 3.310 1.655 0.000
Lu 6.621 3.310 -1.655
Lu 1.655 0.000 3.310
Lu 8.276 0.000 3.310
Lu 0.000 3.310 1.655
Lu 3.310 -1.655 6.621
Lu 3.310 8.276 0.000
Lu 6.621 3.310 4.966
Lu -1.655 6.621 3.310
Lu 4.966 6.621 3.310
Lu 0.000 3.310 8.276
Lu 3.310 4.966 6.621
Th 0.000 0.000 0.000
Th 3.310 3.310 -3.310
Th 3.310 -3.310 3.310
Th 6.621 0.000 0.000
Th 9.931 1.655 0.000
Th 6.621 -3.310 4.966
Th 4.966 6.621 -3.310
Th 4.966 0.000 3.310
Th 3.310 4.966 0.000
Th 6.621 3.310 1.655
Th -3.310 3.310 3.310
Th 0.000 6.621 0.000
Th 0.000 0.000 6.621
Th 3.310 3.310 3.310
Th 0.000 3.310 4.966
Th 3.310 1.655 6.621
Th 1.655 6.621 3.310
Th 1.655 0.000 9.931
Th 0.000 9.931 1.655
Th -3.310 4.966 6.621
H 8.709 -0.083 0.961
H 7.843 -2.350 3.227
H 2.088 0.083 0.961
H 7.843 4.271 -3.227
H 6.704 -0.961 2.088
H 9.848 -1.222 2.350
H 4.271 3.227 -1.222
H 5.660 2.088 -0.083
H 0.961 2.088 0.083
H 8.970 3.393 -1.222
H 0.083 0.961 2.088
H 3.227 -1.222 4.271
H 6.704 5.660 -2.088
H 3.227 1.222 2.350
H 2.350 3.227 1.222
H 7.581 4.533 -0.083
H 4.271 -3.227 7.843
H 5.660 -2.088 6.704
H 3.227 7.843 -2.350
H 6.704 0.961 4.533
H 1.222 2.350 3.227
H 2.088 -0.083 5.660
H 2.088 6.704 -0.961
H 7.843 2.350 3.393
H -1.222 4.271 3.227
H 4.533 -0.083 7.581
H 4.533 6.704 0.961
H 5.398 4.271 3.393
H -0.083 5.660 2.088
H 3.393 -1.222 8.970
H 0.961 8.709 -0.083
H 2.350 9.848 -1.222
H -0.961 2.088 6.704
H 4.271 3.393 5.398
H 3.393 5.398 4.271
H -0.083 0.961 8.709
H 3.393 7.843 2.350
H 6.538 5.660 4.533
H -2.350 3.227 7.843
H 5.660 4.533 6.538
H 0.961 4.533 6.704
H 2.350 3.393 7.843
H -3.227 7.843 4.271
H -0.083 7.581 4.533
H -1.222 2.350 9.848
H 4.533 6.538 5.660
H -1.222 8.970 3.393
H -2.088 6.704 5.660

# 3
4
Lattice="3.131 0.000 0.000 0.000 3.131 0.000 0.000 0.000 7.612" Properties=species:S:1:pos:R:3 comment="Lu2TiH (PBE, relaxed)" e_tot_ev_per_cell=-19.6 volume_a3_per_atom=18.659 pbc="T T T"
Lu 0.000 0.000 1.642
Lu 0.000 0.000 5.970
Ti 1.566 1.566 3.806
H 1.566 1.566 0.000

# 4
5
Lattice="4.707 0.000 0.000 0.000 4.707 0.000 0.000 0.000 4.707" Properties=species:S:1:pos:R:3 comment="Lu3TiH (PBE, relaxed)" e_tot_ev_per_cell=-24.9 volume_a3_per_atom=20.854 pbc="T T T"
Lu 0.000 0.000 2.353
Lu 0.000 2.353 0.000
Lu 2.353 0.000 0.000
Ti 2.353 2.353 2.353
H 0.000 0.000 0.000

# 5
3
Lattice="3.246 0.000 0.000 -1.623 2.811 0.000 0.000 0.000 5.034" Properties=species:S:1:pos:R:3 comment="LuTiH (PBE, relaxed)" e_tot_ev_per_cell=-16.0 volume_a3_per_atom=15.307 pbc="T T T"
Lu 0.000 0.000 0.000
Ti 0.000 1.874 2.511
H 1.623 0.937 3.519

# 6
5
Lattice="3.663 0.000 0.000 0.000 3.663 0.000 0.000 0.000 3.663" Properties=species:S:1:pos:R:3 comment="LuTiH3 (PBE, relaxed)" e_tot_ev_per_cell=-24.3 volume_a3_per_atom=9.831 pbc="T T T"
Lu 0.000 0.000 0.000
Ti 1.832 1.832 1.832
H 0.000 1.832 1.832
H 1.832 0.000 1.832
H 1.832 1.832 0.000

# 7
3
Lattice="-1.592 1.592 5.775 1.592 -1.592 5.775 1.592 1.592 -5.775" Properties=species:S:1:pos:R:3 comment="LuTlH (PBE, relaxed)" polymorph_energy_ev_per_atom=0.3076 e_tot_ev_per_cell=-10.5 volume_a3_per_atom=19.509 pbc="T T T"
Lu 0.000 0.000 0.000
Tl 0.000 0.000 3.122
H 0.000 0.000 6.173

# 8
3
Lattice="3.534 0.000 0.000 -1.767 3.061 0.000 0.000 0.000 5.251" Properties=species:S:1:pos:R:3 comment="LuTlH (PBE, relaxed)" polymorph_energy_ev_per_atom=0.0000 e_tot_ev_per_cell=-11.4 volume_a3_per_atom=18.934 pbc="T T T"
Lu 0.000 0.000 0.000
Tl 1.767 1.020 2.625
H 0.000 2.041 0.000